(1)
Tl2ZnIr: relaxed, GGA-PBE.

The formation energy comes out at 0.45 eV per atom. The mass density comes out at 14063 kg/m3. The relative energy among the computed polymorphs is 0.333 eV/atom.

It has space group I4/mmm (No. 139), with a = 4.3849 Å, b = 4.3849 Å, c = 8.1849 Å, α = 90.00°, β = 90.00° and γ = 90.00°. The asymmetric unit holds Tl at (0.0000, 0.5000, 0.2500), Zn at (0.0000, 0.0000, 0.0000) and Ir at (0.0000, 0.0000, 0.5000).



(2)
LaNd2Dy5Tm: relaxed, GGA-PBE.

The formation energy comes out at 0.26 eV per atom. The mass density comes out at 7819 kg/m3.

It has space group I4/mcm (No. 140), with a = 8.7680 Å, b = 8.7680 Å, c = 15.5677 Å, α = 90.00°, β = 90.00° and γ = 90.00°. The asymmetric unit holds La at (0.0000, 0.0000, 0.2500), Nd at (0.1172, 0.3828, 0.0000), Dy at (0.0000, 0.0000, 0.0000), Dy at (0.2092, 0.2908, 0.3630) and Tm at (0.0000, 0.5000, 0.2500).



(3)
Dy4Er10Pu: relaxed, GGA-PBE.

The formation energy comes out at 0.40 eV per atom. The mass density comes out at 8881 kg/m3.

It has space group I4/m (No. 87), with a = 9.6249 Å, b = 9.6249 Å, c = 10.3603 Å, α = 90.00°, β = 90.00° and γ = 90.00°. The asymmetric unit holds Dy at (0.0675, 0.6711, 0.0000), Er at (0.0000, 0.5000, 0.2500), Er at (0.1130, 0.7877, 0.3396) and Pu at (0.0000, 0.0000, 0.0000).



(4)
ZnRe2W: relaxed, GGA-PBE.

The formation energy comes out at 0.28 eV per atom. The mass density comes out at 17126 kg/m3.

It has space group I4/mmm (No. 139), with a = 3.9398 Å, b = 3.9398 Å, c = 7.7665 Å, α = 90.00°, β = 90.00° and γ = 90.00°. The asymmetric unit holds Zn at (0.0000, 0.0000, 0.0000), Re at (0.0000, 0.5000, 0.2500) and W at (0.0000, 0.0000, 0.5000).



(5)
BeMoPt2: relaxed, GGA-PBE.

The formation energy comes out at -0.26 eV per atom. The mass density comes out at 14928 kg/m3.

It has space group Immm (No. 71), with a = 2.9300 Å, b = 4.4276 Å, c = 8.4911 Å, α = 90.00°, β = 90.00° and γ = 90.00°. The asymmetric unit holds Be at (0.0000, 0.0000, 0.0000), Mo at (0.0000, 0.0000, 0.5000) and Pt at (0.0000, 0.5000, 0.2841).



(6)
Tm4TlCo: relaxed, GGA-PBE.

The formation energy comes out at -0.11 eV per atom. The mass density comes out at 8963 kg/m3. The relative energy among the computed polymorphs is 0.161 eV/atom.

It has space group P2/m (No. 10), with a = 6.1028 Å, b = 3.7455 Å, c = 7.6377 Å, α = 90.00°, β = 94.82° and γ = 90.00°. The asymmetric unit holds Tm at (0.1320, 0.0000, 0.3205), Tm at (0.3668, 0.5000, 0.7076), Tl at (0.0000, 0.5000, 0.0000) and Co at (0.5000, 0.0000, 0.5000).